A relaxed Y4Mo2C3S3 crystal, computed with PBE.

Computed properties:
* density: 5.71 g cm⁻³
* DFT total energy: -8.2400 eV/atom
* space-group type: C2/c (15)

POSCAR file:
```
Y4Mo2C3S3
1.0
5.223 -3.040 0.000
5.223 3.040 0.000
-3.311 0.000 12.456
Y Mo C S
8 4 6 6
Cartesian
0.886 0.444 1.367
0.890 0.530 4.858
-0.770 -0.444 7.595
-0.765 -0.530 11.087
7.900 0.530 1.370
7.904 0.444 4.861
6.244 -0.530 7.598
6.249 -0.444 11.090
4.261 0.557 0.986
4.529 0.557 5.243
2.605 -0.557 7.214
2.874 -0.557 11.471
2.611 1.520 0.000
2.790 1.356 6.226
6.001 1.356 0.002
0.956 -1.520 6.228
1.134 -1.356 12.454
4.345 -1.356 6.231
4.395 2.247 3.114
1.167 0.412 9.324
2.823 -0.412 3.095
4.311 0.412 9.361
5.967 -0.412 3.133
2.739 -2.247 9.342
```